Record 1
## Ag2PdAuF6 (GGA-PBE)

Data for a relaxed Ag2PdAuF6 crystal.

a = 5.2260 Å, b = 5.7407 Å, c = 5.7455 Å
α = 99.90°, β = 104.43°, γ = 104.96°
Space group P-1 (No. 2)
Unique sites:
Ag1 0.0026 0.1726 0.3305 [2 per cell]
Pd1 0.5000 0.5000 0.0000 [1 per cell]
Au1 0.5000 0.0000 0.5000 [1 per cell]
F1 0.2434 0.1728 0.9964 [2 per cell]
F2 0.2457 0.5000 0.6757 [2 per cell]
F3 0.2852 0.7029 0.2084 [2 per cell]

***

Record 2
## AgPd2AuF8 (GGA-PBE)

Data for a relaxed AgPd2AuF8 crystal.

a = 4.6322 Å, b = 5.0738 Å, c = 8.0416 Å
α = 87.56°, β = 83.18°, γ = 88.08°
Space group P-1 (No. 2)
Unique sites:
Ag1 0.0000 0.0000 0.0000 [1 per cell]
Pd1 0.4831 0.5039 0.2506 [2 per cell]
Au1 0.0000 0.0000 0.5000 [1 per cell]
F1 0.1510 0.7739 0.2858 [2 per cell]
F2 0.1852 0.7524 0.7862 [2 per cell]
F3 0.3366 0.2852 0.4575 [2 per cell]
F4 0.3673 0.2776 0.9485 [2 per cell]

***

Record 3
## AgPtAuF6 (GGA-PBE)

Data for a relaxed AgPtAuF6 crystal.

a = 6.1067 Å, b = 6.1067 Å, c = 8.8399 Å
α = 90.00°, β = 90.00°, γ = 120.00°
Space group P-31c (No. 163)
Unique sites:
Ag1 0.3333 0.6667 0.2500 [2 per cell]
Pt1 0.3333 0.6667 0.7500 [2 per cell]
Au1 0.0000 0.0000 0.0000 [2 per cell]
F1 0.0584 0.3906 0.6288 [12 per cell]

***

Record 4
## RbAgAuF6 (GGA-PBE)

Data for a relaxed RbAgAuF6 crystal.

a = 5.3165 Å, b = 6.1359 Å, c = 6.1471 Å
α = 116.11°, β = 90.83°, γ = 90.96°
Space group P1 (No. 1)
Unique sites:
Rb1 0.0000 0.0000 0.0000 [1 per cell]
Ag1 0.5002 0.3207 0.6797 [1 per cell]
Au1 0.4996 0.6578 0.3419 [1 per cell]
F1 0.2925 0.6541 0.0667 [1 per cell]
F2 0.3003 0.9792 0.6273 [1 per cell]
F3 0.3012 0.3877 0.3656 [1 per cell]
F4 0.6992 0.3729 0.0205 [1 per cell]
F5 0.6988 0.6351 0.6113 [1 per cell]
F6 0.7054 0.9339 0.3445 [1 per cell]

***

no.,raw formation energy (kJ/mol of formula units),uncorrected energy (eV per atom)
1,-1012,-3.589
2,-1250,-3.703
3,-925,-3.665
4,-1254,-3.480